Entry 1:
Entry from OQMD via LeMat-Bulk: BeFeIrPb after structural relaxation (PBE).

Unit cell a=4.3869 b=4.3869 c=4.3869 alpha=60.00 beta=60.00 gamma=60.00
Fractional coordinates of all 4 atoms:
Be: 0.0000 0.0000 0.0000
Fe: 0.5000 0.5000 0.5000
Ir: 0.7500 0.7500 0.7500
Pb: 0.2500 0.2500 0.2500

The space-group type is F-43m, No. 216. The value obtained for the excess energy over the best structure of this formula in the dataset is 0.000 eV/atom. As for the magnetic moment: 2.9 μB per formula unit.

=====

Entry 2:
Entry from OQMD via LeMat-Bulk: BeFeSnIr after structural relaxation (PBE).

Unit cell a=4.2459 b=4.2459 c=4.2459 alpha=60.00 beta=60.00 gamma=60.00
Fractional coordinates of all 4 atoms:
Be: 0.0000 0.0000 0.0000
Fe: 0.7500 0.7500 0.7500
Sn: 0.5000 0.5000 0.5000
Ir: 0.2500 0.2500 0.2500

The space-group type is F-43m, No. 216. The value obtained for the excess energy over the best structure of this formula in the dataset is 0.000 eV/atom. As for the magnetic moment: 0.1 μB per formula unit.

=====

Entry 3:
Entry from OQMD via LeMat-Bulk: KBeFeRe after structural relaxation (PBE).

Unit cell a=4.4646 b=4.4646 c=4.4646 alpha=60.00 beta=60.00 gamma=60.00
Fractional coordinates of all 4 atoms:
K: 0.0000 0.0000 0.0000
Be: 0.5000 0.5000 0.5000
Fe: 0.2500 0.2500 0.2500
Re: 0.7500 0.7500 0.7500

The space-group type is F-43m, No. 216. The value obtained for the excess energy over the best structure of this formula in the dataset is 0.266 eV/atom. As for the magnetic moment: 4.1 μB per formula unit.

=====

Entry 4:
Entry from OQMD via LeMat-Bulk: KBeFeRe after structural relaxation (PBE).

Unit cell a=4.4699 b=4.4699 c=4.4699 alpha=60.00 beta=60.00 gamma=60.00
Fractional coordinates of all 4 atoms:
K: 0.0000 0.0000 0.0000
Be: 0.2500 0.2500 0.2500
Fe: 0.7500 0.7500 0.7500
Re: 0.5000 0.5000 0.5000

The space-group type is F-43m, No. 216. The value obtained for the excess energy over the best structure of this formula in the dataset is 0.000 eV/atom. As for the magnetic moment: 4.0 μB per formula unit.

=====

Entry 5:
Entry from OQMD via LeMat-Bulk: KBeFeSe3 after structural relaxation (PBE).

Unit cell a=7.5043 b=7.5043 c=9.8801 alpha=90.00 beta=90.00 gamma=151.69
Fractional coordinates of all 12 atoms:
K: 0.2476 0.7524 0.7500
K: 0.7524 0.2476 0.2500
Be: 0.0297 0.9703 0.2500
Be: 0.9703 0.0297 0.7500
Fe: 0.5000 0.5000 0.0000
Fe: 0.5000 0.5000 0.5000
Se: 0.1074 0.8926 0.0551
Se: 0.1074 0.8926 0.4449
Se: 0.4405 0.5595 0.2500
Se: 0.5595 0.4405 0.7500
Se: 0.8926 0.1074 0.5551
Se: 0.8926 0.1074 0.9449

The space-group type is Cmcm, No. 63. The value obtained for the total DFT energy (no corrections) is -0.1668 Ha/atom. As for the magnetic moment: 2.0 μB per formula unit.

=====

Entry 6:
Entry from OQMD via LeMat-Bulk: KBeFeTe3 after structural relaxation (PBE).

Unit cell a=8.0787 b=8.0787 c=10.6301 alpha=90.00 beta=90.00 gamma=151.56
Fractional coordinates of all 12 atoms:
K: 0.2469 0.7531 0.7500
K: 0.7531 0.2469 0.2500
Be: 0.4692 0.5308 0.2500
Be: 0.5308 0.4692 0.7500
Fe: 0.0000 0.0000 0.0000
Fe: 0.0000 0.0000 0.5000
Te: 0.0621 0.9379 0.2500
Te: 0.3903 0.6097 0.0512
Te: 0.3903 0.6097 0.4488
Te: 0.6097 0.3903 0.5512
Te: 0.6097 0.3903 0.9488
Te: 0.9379 0.0621 0.7500

The space-group type is Cmcm, No. 63. The value obtained for the total DFT energy (no corrections) is -0.1491 Ha/atom. As for the magnetic moment: 2.2 μB per formula unit.

=====

Entry 7:
Entry from OQMD via LeMat-Bulk: LaBeFeP2 after structural relaxation (PBE).

Unit cell a=6.2455 b=6.2455 c=6.2455 alpha=145.39 beta=145.39 gamma=49.75
Fractional coordinates of all 5 atoms:
La: 0.0000 0.0000 0.0000
Be: 0.7500 0.2500 0.5000
Fe: 0.2500 0.7500 0.5000
P: 0.3567 0.3567 0.0000
P: 0.6433 0.6433 0.0000

The space-group type is I-4m2, No. 119. The value obtained for the total DFT energy (no corrections) is -0.2347 Ha/atom. As for the magnetic moment: 0.6 μB per formula unit.

=====

Entry 8:
Entry from OQMD via LeMat-Bulk: LaBeFeSb after structural relaxation (PBE).

Unit cell a=4.7182 b=4.7182 c=4.7182 alpha=60.00 beta=60.00 gamma=60.00
Fractional coordinates of all 4 atoms:
La: 0.0000 0.0000 0.0000
Be: 0.7500 0.7500 0.7500
Fe: 0.2500 0.2500 0.2500
Sb: 0.5000 0.5000 0.5000

The space-group type is F-43m, No. 216. The value obtained for the excess energy over the best structure of this formula in the dataset is 0.000 eV/atom. As for the magnetic moment: 1.7 μB per formula unit.

=====

Q: magnetic moment of number 6 (KBeFeTe3)?
A: 2.2 μB per formula unit

=====

Q: Which of these has the highest magnetic moment?
A: number 3